! K2Mn3PdF12 | Alexandria | PBE with a Hubbard U | optimized geometry; values from VASP
&SYSTEM
  ibrav = 0, nat = 18, ntyp = 4
/
ATOMIC_SPECIES
Mn 54.94 Mn.upf
K 39.10 K.upf
F 19.00 F.upf
Pd 106.42 Pd.upf
CELL_PARAMETERS angstrom
7.1727 -0.0660 -0.0468
3.4849 6.2695 -0.0468
3.4849 2.0285 5.9325
ATOMIC_POSITIONS angstrom
Mn 1.7424 3.1348 -0.0234
Mn 3.5863 -0.0330 -0.0234
Mn 1.7424 1.0142 2.9663
K 5.3695 3.1255 2.2169
K 8.7729 5.1065 3.6220
F 9.1096 7.3018 5.1791
F 6.2532 6.1813 1.6915
F 7.8892 4.5921 0.5643
F 3.2943 3.9169 0.6598
F 10.8480 4.3152 5.1791
F 6.2532 3.6399 5.2746
F 10.8480 6.3145 2.3604
F 8.4631 2.3848 1.6915
F 7.8892 2.0507 4.1474
F 5.0328 0.9302 0.6598
F 3.2943 1.9176 3.4785
F 5.6793 5.8472 4.1474
Pd 0.0000 0.0000 0.0000
! ρ   3.56 g/cm³
! DOS at the Fermi energy   6.79 states/eV/cell
! Final energy   -5.008 eV per atom
! Space-group type   R-3m
! Total moment   6.9 μB per formula unit